The following is a DFT calculation (PBE-GGA) of a relaxed KMg2P crystal.

```
data_KMg2P
_chemical_formula_sum 'K1 Mg2 P1'
_space_group_name_H-M_alt 'P 1'
_space_group_IT_number 1
_cell_length_a 5.183
_cell_length_b 5.183
_cell_length_c 5.183
_cell_angle_alpha 120.14
_cell_angle_beta 120.14
_cell_angle_gamma 89.76
loop_
_space_group_symop_operation_xyz
'x,y,z'
loop_
_atom_site_label
_atom_site_type_symbol
_atom_site_fract_x
_atom_site_fract_y
_atom_site_fract_z
K1 K 0.750 0.250 0.500
Mg1 Mg 0.000 0.000 0.000
Mg2 Mg 0.250 0.750 0.500
P1 P 0.500 0.500 0.000
```

Output
The crystal system is tetragonal. The space group is No. 119. The calculation puts the total energy at -9.118 eV per cell. The calculation puts the total magnetization at 0.00 μB/f.u. The value obtained for the energy of formation from the pure elements is 3.335 kcal/mol of atoms.